# 1
First-principles (PBE-GGA) data for PmCo4B4 after structural relaxation, as listed in the Alexandria database.

Cell: 7.0329 7.0329 3.7990 Å, 90.00 90.00 90.00°
Atoms (fractional coordinates):
1 Pm 0.2500 0.2500 0.2500
2 Pm 0.7500 0.7500 0.7500
3 Co 0.1077 0.6337 0.1429
4 Co 0.1337 0.8923 0.6429
5 Co 0.3663 0.6077 0.6429
6 Co 0.3923 0.8663 0.1429
7 Co 0.6077 0.1337 0.8571
8 Co 0.6337 0.3923 0.3571
9 Co 0.8663 0.1077 0.3571
10 Co 0.8923 0.3663 0.8571
11 B 0.0471 0.9120 0.1458
12 B 0.0880 0.5471 0.6458
13 B 0.4120 0.9529 0.6458
14 B 0.4529 0.5880 0.1458
15 B 0.5471 0.4120 0.8542
16 B 0.5880 0.0471 0.3542
17 B 0.9120 0.4529 0.3542
18 B 0.9529 0.0880 0.8542

Values from the calculation:
Energy of formation = -479 meV per atom

***

# 2
First-principles (PBE-GGA) data for KNa2Li after structural relaxation, as listed in the Alexandria database.

Cell: 8.6143 8.6143 8.6143 Å, 90.00 90.00 90.00°
Atoms (fractional coordinates):
1 K 0.0000 0.0000 0.0000
2 K 0.0000 0.5000 0.5000
3 K 0.5000 0.0000 0.5000
4 K 0.5000 0.5000 0.0000
5 Na 0.2500 0.2500 0.2500
6 Na 0.2500 0.2500 0.7500
7 Na 0.2500 0.7500 0.2500
8 Na 0.2500 0.7500 0.7500
9 Na 0.7500 0.2500 0.2500
10 Na 0.7500 0.2500 0.7500
11 Na 0.7500 0.7500 0.2500
12 Na 0.7500 0.7500 0.7500
13 Li 0.0000 0.0000 0.5000
14 Li 0.0000 0.5000 0.0000
15 Li 0.5000 0.0000 0.0000
16 Li 0.5000 0.5000 0.5000

Values from the calculation:
Energy of formation = 88 meV per atom
Polymorph energy (0 for the lowest one) = 25.8 meV/atom

***

# 3
First-principles (PBE-GGA) data for Mg3As5S12 after structural relaxation, as listed in the Alexandria database.

Cell: 13.1881 13.1881 13.1881 Å, 109.47 109.47 109.47°
Atoms (fractional coordinates):
1 Mg 0.1250 0.2500 0.3750
2 Mg 0.1250 0.3750 0.7500
3 Mg 0.2500 0.3750 0.1250
4 Mg 0.2500 0.8750 0.6250
5 Mg 0.3750 0.1250 0.2500
6 Mg 0.3750 0.7500 0.1250
7 Mg 0.6250 0.2500 0.8750
8 Mg 0.6250 0.8750 0.7500
9 Mg 0.7500 0.1250 0.3750
10 Mg 0.7500 0.6250 0.8750
11 Mg 0.8750 0.6250 0.2500
12 Mg 0.8750 0.7500 0.6250
13 As 0.0000 0.0000 0.0000
14 As 0.0000 0.0000 0.5000
15 As 0.0000 0.5000 0.0000
16 As 0.0000 0.5000 0.5000
17 As 0.1250 0.7500 0.8750
18 As 0.1250 0.8750 0.2500
19 As 0.2500 0.1250 0.8750
20 As 0.2500 0.6250 0.3750
21 As 0.3750 0.2500 0.6250
22 As 0.3750 0.6250 0.7500
23 As 0.5000 0.0000 0.0000
24 As 0.5000 0.0000 0.5000
25 As 0.5000 0.5000 0.0000
26 As 0.5000 0.5000 0.5000
27 As 0.6250 0.3750 0.2500
28 As 0.6250 0.7500 0.3750
29 As 0.7500 0.3750 0.6250
30 As 0.7500 0.8750 0.1250
31 As 0.8750 0.1250 0.7500
32 As 0.8750 0.2500 0.1250
33 S 0.0390 0.2133 0.1337
34 S 0.0390 0.3257 0.9053
35 S 0.0796 0.7133 0.6743
36 S 0.0796 0.8663 0.4053
37 S 0.0947 0.6337 0.4204
38 S 0.0947 0.9610 0.6743
39 S 0.1337 0.0390 0.2133
40 S 0.1337 0.5947 0.9204
41 S 0.1743 0.2133 0.5796
42 S 0.1743 0.4610 0.5947
43 S 0.2133 0.1337 0.0390
44 S 0.2133 0.5796 0.1743
45 S 0.2867 0.3257 0.9204
46 S 0.2867 0.4610 0.3663
47 S 0.3257 0.9053 0.0390
48 S 0.3257 0.9204 0.2867
49 S 0.3663 0.2867 0.4610
50 S 0.3663 0.5796 0.9053
51 S 0.4053 0.0796 0.8663
52 S 0.4053 0.8257 0.5390
53 S 0.4204 0.0947 0.6337
54 S 0.4204 0.8257 0.7867
55 S 0.4610 0.3663 0.2867
56 S 0.4610 0.5947 0.1743
57 S 0.5390 0.4053 0.8257
58 S 0.5390 0.6337 0.7133
59 S 0.5796 0.1743 0.2133
60 S 0.5796 0.9053 0.3663
61 S 0.5947 0.1743 0.4610
62 S 0.5947 0.9204 0.1337
63 S 0.6337 0.4204 0.0947
64 S 0.6337 0.7133 0.5390
65 S 0.6743 0.0796 0.7133
66 S 0.6743 0.0947 0.9610
67 S 0.7133 0.5390 0.6337
68 S 0.7133 0.6743 0.0796
69 S 0.7867 0.4204 0.8257
70 S 0.7867 0.8663 0.9610
71 S 0.8257 0.5390 0.4053
72 S 0.8257 0.7867 0.4204
73 S 0.8663 0.4053 0.0796
74 S 0.8663 0.9610 0.7867
75 S 0.9053 0.0390 0.3257
76 S 0.9053 0.3663 0.5796
77 S 0.9204 0.1337 0.5947
78 S 0.9204 0.2867 0.3257
79 S 0.9610 0.6743 0.0947
80 S 0.9610 0.7867 0.8663

Values from the calculation:
Raw formation energy = -0.25 eV per atom

***

# 4
First-principles (PBE-GGA) data for AgBiBr5 after structural relaxation, as listed in the Alexandria database.

Cell: 8.4682 8.4682 8.4780 Å, 97.99 97.99 110.54°
Atoms (fractional coordinates):
1 Ag 0.0000 0.0000 0.0000
2 Ag 0.0000 0.0000 0.5000
3 Bi 0.4744 0.5256 0.7500
4 Bi 0.5256 0.4744 0.2500
5 Br 0.1122 0.3007 0.6950
6 Br 0.1151 0.8849 0.7500
7 Br 0.3007 0.1122 0.1950
8 Br 0.3568 0.6334 0.4585
9 Br 0.3666 0.6432 0.0415
10 Br 0.6334 0.3568 0.9585
11 Br 0.6432 0.3666 0.5415
12 Br 0.6993 0.8878 0.8050
13 Br 0.8849 0.1151 0.2500
14 Br 0.8878 0.6993 0.3050

Values from the calculation:
Raw formation energy = -0.45 eV per atom

***

# 5
First-principles (PBE-GGA) data for Ta2CoTe after structural relaxation, as listed in the Alexandria database.

Cell: 4.3166 4.4332 7.2317 Å, 90.00 90.00 90.00°
Atoms (fractional coordinates):
1 Ta 0.0000 0.0000 0.2140
2 Ta 0.0000 0.0000 0.7860
3 Ta 0.5000 0.5000 0.2140
4 Ta 0.5000 0.5000 0.7860
5 Co 0.0000 0.5000 0.0000
6 Co 0.5000 0.0000 0.0000
7 Te 0.0000 0.5000 0.5000
8 Te 0.5000 0.0000 0.5000

Values from the calculation:
Raw formation energy = 0.25 eV per atom

***

# 6
First-principles (PBE-GGA) data for Pm4Hg2Cl after structural relaxation, as listed in the Alexandria database.

Cell: 5.3108 5.3108 15.1780 Å, 90.00 90.00 90.00°
Atoms (fractional coordinates):
1 Pm 0.0000 0.0000 0.1882
2 Pm 0.0000 0.0000 0.8118
3 Pm 0.0000 0.5000 0.0000
4 Pm 0.0000 0.5000 0.5000
5 Pm 0.5000 0.0000 0.0000
6 Pm 0.5000 0.0000 0.5000
7 Pm 0.5000 0.5000 0.3118
8 Pm 0.5000 0.5000 0.6882
9 Hg 0.0000 0.0000 0.3845
10 Hg 0.0000 0.0000 0.6155
11 Hg 0.5000 0.5000 0.1155
12 Hg 0.5000 0.5000 0.8845
13 Cl 0.0000 0.0000 0.0000
14 Cl 0.5000 0.5000 0.5000

Values from the calculation:
Raw formation energy = -0.53 eV per atom

***

# 7
First-principles (PBE-GGA) data for Ta2FeSb after structural relaxation, as listed in the Alexandria database.

Cell: 3.4773 3.4773 5.8568 Å, 90.00 90.00 90.00°
Atoms (fractional coordinates):
1 Ta 0.0000 0.0000 0.0000
2 Ta 0.5000 0.5000 0.2432
3 Fe 0.0000 0.0000 0.4748
4 Sb 0.5000 0.5000 0.7288

Values from the calculation:
Raw formation energy = 0.09 eV per atom

***

# 8
First-principles (PBE-GGA) data for LaMgRe after structural relaxation, as listed in the Alexandria database.

Cell: 3.4393 4.9989 15.2906 Å, 90.00 90.00 90.00°
Atoms (fractional coordinates):
1 La 0.0000 0.0000 0.0000
2 La 0.0000 0.5000 0.5000
3 La 0.5000 0.0000 0.5000
4 La 0.5000 0.5000 0.0000
5 Mg 0.0000 0.0000 0.2902
6 Mg 0.0000 0.5000 0.7902
7 Mg 0.5000 0.0000 0.7902
8 Mg 0.5000 0.5000 0.2902
9 Re 0.0000 0.0000 0.6511
10 Re 0.0000 0.5000 0.1511
11 Re 0.5000 0.0000 0.1511
12 Re 0.5000 0.5000 0.6511

Values from the calculation:
Energy of formation = 502 meV per atom
Polymorph energy (0 for the lowest one) = 20.2 meV/atom

***

Copy entry 2 word for word.
First-principles (PBE-GGA) data for KNa2Li after structural relaxation, as listed in the Alexandria database.

Cell: 8.6143 8.6143 8.6143 Å, 90.00 90.00 90.00°
Atoms (fractional coordinates):
1 K 0.0000 0.0000 0.0000
2 K 0.0000 0.5000 0.5000
3 K 0.5000 0.0000 0.5000
4 K 0.5000 0.5000 0.0000
5 Na 0.2500 0.2500 0.2500
6 Na 0.2500 0.2500 0.7500
7 Na 0.2500 0.7500 0.2500
8 Na 0.2500 0.7500 0.7500
9 Na 0.7500 0.2500 0.2500
10 Na 0.7500 0.2500 0.7500
11 Na 0.7500 0.7500 0.2500
12 Na 0.7500 0.7500 0.7500
13 Li 0.0000 0.0000 0.5000
14 Li 0.0000 0.5000 0.0000
15 Li 0.5000 0.0000 0.0000
16 Li 0.5000 0.5000 0.5000

Values from the calculation:
Energy of formation = 88 meV per atom
Polymorph energy (0 for the lowest one) = 25.8 meV/atom